A plane-wave DFT calculation with PBE with a Hubbard U was carried out for crystalline Ca2GaMoF at its relaxed geometry.

Geometry as CIF:
```
data_Ca2GaMoF
_chemical_formula_sum 'Ca2 Ga1 Mo1 F1'
_space_group_name_H-M_alt 'P 4/m m m'
_space_group_IT_number 123
_space_group_name_Hall '-P 4 2'
_cell_length_a 6.008
_cell_length_b 6.008
_cell_length_c 4.275
_cell_angle_alpha 90.00
_cell_angle_beta 90.00
_cell_angle_gamma 90.00
loop_
_atom_site_label
_atom_site_type_symbol
_atom_site_fract_x
_atom_site_fract_y
_atom_site_fract_z
_atom_site_occupancy
Ca1 Ca 0.000 0.500 0.000 1
Ga1 Ga 0.000 0.000 0.000 1
Mo1 Mo 0.500 0.500 0.500 1
F1 F 0.000 0.000 0.500 1
```

M_tot: 4.8 μB/cell
Raw total energy: -3.24 eV per atom